one.
Entry from Alexandria: a relaxed structure of Ni2Sn2Pb (PBE-GGA).

POSCAR file:
```
Ni2Sn2Pb
1.0
-5.035 -1.530 6.196
4.729 -6.195 2.313
1.596 1.875 1.760
Pb Ni Sn
2 4 4
Direct
0.000 0.000 0.000
0.500 0.500 0.000
0.147 0.647 0.500
0.647 0.853 0.500
0.853 0.353 0.500
0.353 0.147 0.500
0.361 0.861 0.000
0.861 0.639 0.000
0.639 0.139 0.000
0.139 0.361 0.000
```

Properties
The mass density is 9.3 Mg/m³. Its crystal system is tetragonal. As for the volume: 100.0 Å³/f.u. As for the space group: P4/mbm, No. 127.


two.
Entry from Alexandria: a relaxed structure of Ni2Sn2Pb (PBE-GGA).

POSCAR file:
```
Ni2Sn2Pb
1.0
4.353 0.000 0.000
0.000 4.353 0.000
2.176 2.176 5.501
Pb Ni Sn
1 2 2
Direct
0.000 0.000 0.000
0.386 0.386 0.228
0.614 0.614 0.772
0.750 0.250 0.500
0.250 0.750 0.500
```

Properties
The mass density is 9.0 Mg/m³. Its crystal system is tetragonal. As for the volume: 104.2 Å³/f.u. As for the space group: I4/mmm, No. 139.


Looking at the structures above, two is most stable, and the difference to the next one is 0.044 eV/atom.